This record from Alexandria describes crystalline RbMg6CrO8 at its relaxed geometry. The functional is PBE with a Hubbard U.

Summary:
**Final energy**: -5.6655 eV/atom
**Space-group type**: P4/mmm (123)

Cell: 4.509 4.509 8.829 Å, 90.00 90.00 90.00°
Positions (direct):
Rb: 0.000 0.000 0.000
Mg: 0.000 0.500 0.253
Mg: 0.000 0.500 0.747
Mg: 0.500 0.000 0.253
Mg: 0.500 0.000 0.747
Mg: 0.500 0.500 0.000
Mg: 0.500 0.500 0.500
Cr: 0.000 0.000 0.500
O: 0.000 0.000 0.280
O: 0.000 0.000 0.720
O: 0.000 0.500 0.000
O: 0.000 0.500 0.500
O: 0.500 0.000 0.000
O: 0.500 0.000 0.500
O: 0.500 0.500 0.253
O: 0.500 0.500 0.747